# TbNd6Ho5

A relaxed TbNd6Ho5 crystal (PBE, the Alexandria database).

abc: 6.2632 6.2632 11.8347
angles: 95.04 95.04 119.99
Atoms (fractional coordinates):
1 Tb 0.0000 0.0000 0.0000
2 Nd 0.0829 0.4164 0.2504
3 Nd 0.2506 0.2506 0.7497
4 Nd 0.4164 0.0829 0.2504
5 Nd 0.5836 0.9171 0.7496
6 Nd 0.7494 0.7494 0.2503
7 Nd 0.9171 0.5836 0.7496
8 Ho 0.1667 0.8333 0.5000
9 Ho 0.3333 0.6667 0.0000
10 Ho 0.5000 0.5000 0.5000
11 Ho 0.6667 0.3333 0.0000
12 Ho 0.8333 0.1667 0.5000

Energy relative to the elements, eV/atom: 0.0116
Space group: C2/m (12)
Total DFT energy (no corrections), Ha/atom: -0.171
Excess energy over the best structure of this formula in the dataset, kcal/mol of atoms: 0.00